# Al6AgPd12 | Alexandria via LeMat-Bulk | PBE | optimized geometry
# formation energy	-0.4417	eV per atom
# magnetization	0.00	μB per cell
# final energy	-5.053	eV/atom
data_Al6AgPd12
_chemical_formula_sum 'Al6 Ag1 Pd12'
_symmetry_space_group_name_H-M 'P 1'
_symmetry_Int_Tables_number 1
_symmetry_space_group_name_Hall 'P 1'
_cell_length_a 7.1045
_cell_length_b 7.1045
_cell_length_c 7.1045
_cell_angle_alpha 102.04
_cell_angle_beta 102.04
_cell_angle_gamma 102.04
loop_
_atom_site_label
_atom_site_type_symbol
_atom_site_fract_x
_atom_site_fract_y
_atom_site_fract_z
_atom_site_occupancy
Al1 Al 0.7383 0.8438 0.4901 1
Al2 Al 0.5099 0.2617 0.1562 1
Al3 Al 0.1562 0.5099 0.2617 1
Al4 Al 0.2617 0.1562 0.5099 1
Al5 Al 0.4901 0.7383 0.8438 1
Al6 Al 0.8438 0.4901 0.7383 1
Ag1 Ag 0.0000 0.0000 0.0000 1
Pd1 Pd 0.8204 0.5086 0.3931 1
Pd2 Pd 0.3931 0.8204 0.5086 1
Pd3 Pd 0.5086 0.3931 0.8204 1
Pd4 Pd 0.1796 0.4914 0.6069 1
Pd5 Pd 0.6069 0.1796 0.4914 1
Pd6 Pd 0.4914 0.6069 0.1796 1
Pd7 Pd 0.0130 0.8466 0.3179 1
Pd8 Pd 0.1534 0.6821 0.9870 1
Pd9 Pd 0.6821 0.9870 0.1534 1
Pd10 Pd 0.9870 0.1534 0.6821 1
Pd11 Pd 0.8466 0.3179 0.0130 1
Pd12 Pd 0.3179 0.0130 0.8466 1